No. 1
Material: Dy3HoPb2C
Method: DFT, PBE
State: relaxed

The structure in POSCAR format:
```
Dy3HoPb2C
1.0
-2.405 2.414 8.051
2.405 -2.414 8.051
2.405 2.414 -8.051
Dy Ho Pb C
3 1 2 1
Direct
0.000 0.000 0.000
0.343 0.843 0.500
0.657 0.157 0.500
0.500 0.500 0.000
0.142 0.642 0.500
0.858 0.358 0.500
0.500 0.000 0.500
```

Summary:
- DFT formation energy: -0.555 eV/atom

---

No. 2
Material: Sr2NiTePb
Method: DFT, PBE
State: relaxed

The structure in POSCAR format:
```
Sr2NiTePb
1.0
5.851 0.000 0.000
0.000 5.851 0.000
0.000 0.000 4.810
Sr Ni Te Pb
2 1 1 1
Direct
0.000 0.500 0.000
0.500 0.000 0.000
0.000 0.000 0.000
0.500 0.500 0.500
0.000 0.000 0.500
```

Summary:
- Energy relative to the elements, uncorrected: -564 meV per atom

---

No. 3
Material: Th2AlCu3Si4
Method: DFT, PBE
State: relaxed

The structure in POSCAR format:
```
Th2AlCu3Si4
1.0
4.142 0.000 0.000
0.000 4.142 0.000
0.000 0.000 10.052
Th Al Cu Si
2 1 3 4
Direct
0.000 0.500 0.242
0.500 0.000 0.758
0.000 0.000 0.500
0.000 0.500 0.877
0.500 0.000 0.123
0.500 0.500 0.500
0.000 0.000 0.000
0.000 0.500 0.642
0.500 0.000 0.358
0.500 0.500 0.000
```

Summary:
- Energy relative to the elements, uncorrected: -475 meV per atom

---

No. 4
Material: Mn2InBIr
Method: DFT, PBE
State: relaxed

The structure in POSCAR format:
```
Mn2InBIr
1.0
4.508 0.000 0.000
0.000 4.508 0.000
0.000 0.000 5.098
Mn In B Ir
2 1 1 1
Direct
0.000 0.500 0.000
0.500 0.000 0.000
0.000 0.000 0.500
0.500 0.500 0.500
0.000 0.000 0.000
```

Summary:
- DFT formation energy: 1.997 eV/atom

---

No. 5
Material: PrZn2SiRu2
Method: DFT, PBE
State: relaxed

The structure in POSCAR format:
```
PrZn2SiRu2
1.0
4.456 0.000 0.000
0.000 4.456 0.000
0.000 0.000 5.736
Pr Zn Si Ru
1 2 1 2
Direct
0.000 0.000 0.000
0.500 0.500 0.237
0.500 0.500 0.763
0.000 0.000 0.500
0.000 0.500 0.500
0.500 0.000 0.500
```

Summary:
- Energy relative to the elements, uncorrected: -260 meV per atom

---

No. 6
Material: LaY3Ni
Method: DFT, PBE
State: relaxed

The structure in POSCAR format:
```
LaY3Ni
1.0
5.500 0.000 0.000
0.000 5.500 0.000
0.000 0.000 5.500
La Y Ni
1 3 1
Direct
0.000 0.000 0.000
0.000 0.000 0.500
0.000 0.500 0.000
0.500 0.000 0.000
0.500 0.500 0.500
```

Summary:
- DFT formation energy: 1.241 eV/atom
- Relative energy among the computed polymorphs: 1335.3 meV/atom

---

no.,density (g/cm3)
1,9.58
2,5.73
3,7.64
4,6.85
5,7.32
6,4.64